(1)
Here is MgInSeN2 after structural relaxation from the Alexandria database. Energies are from PBE.

Cell: 4.192 4.192 5.500 Å, 90.00 90.00 90.00°
Fractional positions:
Mg: 0.000 0.000 0.000
In: 0.500 0.500 0.500
Se: 0.000 0.000 0.500
N: 0.000 0.500 0.000
N: 0.500 0.000 0.000

- space group = No. 123
- polymorph energy (0 for the lowest one) (eV per atom) = 0.000

***

(2)
Here is Mg2InSiN4 after structural relaxation from the Alexandria database. Energies are from PBE.

Cell: 6.558 5.862 5.310 Å, 90.00 90.00 90.00°
Fractional positions:
Mg: 0.247 0.164 0.000
Mg: 0.253 0.836 0.500
Mg: 0.747 0.836 0.500
Mg: 0.753 0.164 0.000
In: 0.000 0.351 0.498
In: 0.500 0.649 0.998
Si: 0.000 0.673 0.003
Si: 0.500 0.327 0.503
N: 0.000 0.383 0.911
N: 0.000 0.687 0.333
N: 0.217 0.821 0.897
N: 0.283 0.179 0.397
N: 0.500 0.313 0.833
N: 0.500 0.617 0.411
N: 0.717 0.179 0.397
N: 0.783 0.821 0.897

- raw total energy (eV/atom) = -6.132
- space group = No. 31

***

(3)
Here is Sr2MgInN after structural relaxation from the Alexandria database. Energies are from PBE.

Cell: 5.494 5.494 4.225 Å, 90.00 90.00 90.00°
Fractional positions:
Sr: 0.000 0.500 0.000
Sr: 0.500 0.000 0.000
Mg: 0.000 0.000 0.500
In: 0.500 0.500 0.500
N: 0.000 0.000 0.000

- raw total energy (eV/atom) = -3.639
- space group = No. 123

***

Summary of DOS(E_F) in states/eV/cell
1.853; 8.241; 4.516
(order as listed above)